Entry from Alexandria: a relaxed TmV2MoO8 crystal (GGA+U).

Output
Final energy (eV/atom): -7.6751
Theoretical density (Mg/m³): 4.629

a b c (Å): 5.7790 5.7790 6.1367
angles (deg): 90.00 90.00 120.00
Closest atoms and distances in Å follow each position.
Space group P-3m1 (No. 164)
Unique sites:
Tm (0.0000, 0.0000, 0.0000) [1 per cell]  6 O 2.24
V (0.3333, 0.6667, 0.6656) [2 per cell]  4 O 1.63-1.80
Mo (0.0000, 0.0000, 0.5000) [1 per cell]  6 O 2.20
O (0.1601, 0.3201, 0.7456) [6 per cell]  1 V 1.80
O (0.3333, 0.6667, 0.4008) [2 per cell]  1 V 1.63